(1)
VASP calculation (SCAN) on SiTcHg2 at its PBEsol-relaxed geometry.

Geometry as POSCAR:
```
SiTcHg2
1.0
1.497 0.864 9.135
-1.497 0.864 9.135
0.000 -1.728 9.135
Si Tc Hg
1 1 2
Direct
0.000 0.000 0.000 Si
0.500 0.500 0.500 Tc
0.249 0.249 0.249 Hg
0.751 0.751 0.751 Hg
```

Output
ΔE_f (raw): 69.5 kJ per mole of atoms
Space-group type: R-3m
V: 70.9 Å³ per cell

---

(2)
VASP calculation (SCAN) on SiTcHg2 at its PBEsol-relaxed geometry.

Geometry as POSCAR:
```
SiTcHg2
1.0
1.609 -2.396 0.000
1.609 2.396 0.000
0.000 0.000 9.473
Si Tc Hg
1 1 2
Direct
0.000 0.000 0.000 Si
0.500 0.500 0.180 Tc
0.000 0.000 0.431 Hg
0.500 0.500 0.728 Hg
```

Output
ΔE_f (raw): 41.3 kJ per mole of atoms
Space-group type: Cmm2
V: 73.0 Å³ per cell

---

(3)
VASP calculation (SCAN) on SiTcHg2 at its PBEsol-relaxed geometry.

Geometry as POSCAR:
```
SiTcHg2
1.0
-1.689 2.198 4.725
1.689 -2.198 4.725
1.689 2.198 -4.725
Si Tc Hg
1 1 2
Direct
0.000 0.000 0.000 Si
0.174 0.674 0.500 Tc
0.444 0.444 0.000 Hg
0.726 0.226 0.500 Hg
```

Output
ΔE_f (raw): 45.1 kJ per mole of atoms
Space-group type: Imm2
V: 70.2 Å³ per cell

---

(4)
VASP calculation (SCAN) on Si2HgTe at its PBEsol-relaxed geometry.

Geometry as POSCAR:
```
Si2HgTe
1.0
1.948 1.125 6.493
-1.948 1.125 6.493
0.000 -2.249 6.493
Si Hg Te
2 1 1
Direct
0.244 0.244 0.244 Si
0.756 0.756 0.756 Si
0.500 0.500 0.500 Hg
0.000 0.000 0.000 Te
```

Output
ΔE_f (raw): 43.1 kJ per mole of atoms
Space-group type: R-3m
V: 85.3 Å³ per cell

---

(5)
VASP calculation (SCAN) on Si2HgTe at its PBEsol-relaxed geometry.

Geometry as POSCAR:
```
Si2HgTe
1.0
3.578 0.000 0.000
0.000 3.578 0.000
0.000 0.000 7.130
Si Hg Te
2 1 1
Direct
0.000 0.000 0.000 Si
0.500 0.500 0.044 Si
0.000 0.000 0.650 Hg
0.500 0.500 0.403 Te
```

Output
ΔE_f (raw): 31.0 kJ per mole of atoms
Space-group type: P4mm
V: 91.3 Å³ per cell

---

(6)
VASP calculation (SCAN) on Si2HgTe at its PBEsol-relaxed geometry.

Geometry as POSCAR:
```
Si2HgTe
1.0
0.000 3.453 3.453
3.453 0.000 3.453
3.453 3.453 0.000
Si Hg Te
2 1 1
Direct
0.250 0.250 0.250 Si
0.750 0.750 0.750 Si
0.000 0.000 0.000 Hg
0.500 0.500 0.500 Te
```

Output
ΔE_f (raw): 74.1 kJ per mole of atoms
Space-group type: Fm-3m
V: 82.4 Å³ per cell

---

(7)
VASP calculation (SCAN) on TlSi2Hg at its PBEsol-relaxed geometry.

Geometry as POSCAR:
```
TlSi2Hg
1.0
-2.032 2.032 5.050
2.032 -2.032 5.050
2.032 2.032 -5.050
Tl Si Hg
1 2 1
Direct
0.000 0.000 0.000 Tl
0.250 0.750 0.500 Si
0.750 0.250 0.500 Si
0.500 0.500 0.000 Hg
```

Output
ΔE_f (raw): 74.0 kJ per mole of atoms
Space-group type: I4/mmm
V: 83.4 Å³ per cell

---

(8)
VASP calculation (SCAN) on TlSi2Hg at its PBEsol-relaxed geometry.

Geometry as POSCAR:
```
TlSi2Hg
1.0
-2.518 2.518 7.655
2.518 -2.518 7.655
2.518 2.518 -7.655
Tl Si Hg
2 4 2
Direct
0.000 0.000 0.000 Tl
0.750 0.250 0.500 Tl
0.162 0.625 0.037 Si
0.375 0.412 0.537 Si
0.588 0.125 0.963 Si
0.875 0.838 0.463 Si
0.250 0.750 0.500 Hg
0.500 0.500 0.000 Hg
```

Output
ΔE_f (raw): 62.1 kJ per mole of atoms
Space-group type: I-42d
V: 194.1 Å³ per cell

---

(9)
VASP calculation (SCAN) on TlSi3Hg at its PBEsol-relaxed geometry.

Geometry as POSCAR:
```
TlSi3Hg
1.0
5.032 0.000 0.000
0.000 5.032 0.000
0.000 0.000 5.032
Tl Si Hg
1 3 1
Direct
0.000 0.000 0.000 Tl
0.000 0.500 0.500 Si
0.500 0.000 0.500 Si
0.500 0.500 0.000 Si
0.500 0.500 0.500 Hg
```

Output
ΔE_f (raw): 124.3 kJ per mole of atoms
Space-group type: Pm-3m
V: 127.4 Å³ per cell

---

(10)
VASP calculation (SCAN) on TlSi2Hg at its PBEsol-relaxed geometry.

Geometry as POSCAR:
```
TlSi2Hg
1.0
3.580 0.000 0.000
0.000 3.580 0.000
0.000 0.000 6.835
Tl Si Hg
1 2 1
Direct
0.000 0.000 0.000 Tl
0.500 0.500 0.317 Si
0.500 0.500 0.683 Si
0.000 0.000 0.500 Hg
```

Output
ΔE_f (raw): 62.1 kJ per mole of atoms
Space-group type: P4/mmm
V: 87.6 Å³ per cell

---

(11)
VASP calculation (SCAN) on Tl2SiHg at its PBEsol-relaxed geometry.

Geometry as POSCAR:
```
Tl2SiHg
1.0
3.348 -4.470 0.000
3.348 4.470 0.000
-0.412 0.000 3.185
Tl Si Hg
2 1 1
Direct
0.000 0.500 0.000 Tl
0.500 0.000 0.000 Tl
0.000 0.000 0.500 Si
0.500 0.500 0.500 Hg
```

Output
ΔE_f (raw): 41.7 kJ per mole of atoms
Space-group type: C2/m
V: 95.3 Å³ per cell

---

(12)
VASP calculation (SCAN) on SiHgW2 at its PBEsol-relaxed geometry.

Geometry as POSCAR:
```
SiHgW2
1.0
2.828 -4.072 0.000
2.828 4.072 0.000
0.000 0.000 2.749
Si Hg W
1 1 2
Direct
0.000 0.000 0.000 Si
0.500 0.500 0.000 Hg
0.000 0.500 0.500 W
0.500 0.000 0.500 W
```

Output
ΔE_f (raw): 80.6 kJ per mole of atoms
Space-group type: Cmmm
V: 63.3 Å³ per cell

---

(13)
VASP calculation (SCAN) on SiHg4W at its PBEsol-relaxed geometry.

Geometry as POSCAR:
```
SiHg4W
1.0
0.000 3.954 3.954
3.954 0.000 3.954
3.954 3.954 0.000
Si Hg W
1 4 1
Direct
0.000 0.000 0.000 Si
0.126 0.625 0.625 Hg
0.625 0.126 0.625 Hg
0.625 0.625 0.126 Hg
0.625 0.625 0.625 Hg
0.250 0.250 0.250 W
```

Output
ΔE_f (raw): 123.6 kJ per mole of atoms
Space-group type: F-43m
V: 123.6 Å³ per cell

---

(14)
VASP calculation (SCAN) on Si3HgW at its PBEsol-relaxed geometry.

Geometry as POSCAR:
```
Si3HgW
1.0
4.764 0.000 0.000
0.000 4.764 0.000
0.000 0.000 4.764
Si Hg W
3 1 1
Direct
0.000 0.000 0.500 Si
0.000 0.500 0.000 Si
0.500 0.000 0.000 Si
0.500 0.500 0.500 Hg
0.000 0.000 0.000 W
```

Output
ΔE_f (raw): 53.5 kJ per mole of atoms
Space-group type: Pm-3m
V: 108.1 Å³ per cell

---

(15)
VASP calculation (SCAN) on SiHgW2 at its PBEsol-relaxed geometry.

Geometry as POSCAR:
```
SiHgW2
1.0
1.620 -2.234 0.000
1.620 2.234 0.000
0.000 0.000 9.475
Si Hg W
1 1 2
Direct
0.000 0.000 0.000 Si
0.500 0.500 0.302 Hg
0.000 0.000 0.564 W
0.500 0.500 0.789 W
```

Output
ΔE_f (raw): 50.1 kJ per mole of atoms
Space-group type: Cmm2
V: 68.6 Å³ per cell

---

(16)
VASP calculation (SCAN) on SiHg2W at its PBEsol-relaxed geometry.

Geometry as POSCAR:
```
SiHg2W
1.0
-1.731 2.186 4.713
1.731 -2.186 4.713
1.731 2.186 -4.713
Si Hg W
1 2 1
Direct
0.000 0.000 0.000 Si
0.460 0.460 0.000 Hg
0.737 0.237 0.500 Hg
0.187 0.687 0.500 W
```

Output
ΔE_f (raw): 76.1 kJ per mole of atoms
Space-group type: Imm2
V: 71.3 Å³ per cell

---

(17)
VASP calculation (SCAN) on SiHgW2 at its PBEsol-relaxed geometry.

Geometry as POSCAR:
```
SiHgW2
1.0
2.783 -4.394 0.000
2.783 4.394 0.000
-0.939 0.000 2.628
Si Hg W
1 1 2
Direct
0.000 0.000 0.000 Si
0.500 0.500 0.000 Hg
0.000 0.500 0.500 W
0.500 0.000 0.500 W
```

Output
ΔE_f (raw): 72.2 kJ per mole of atoms
Space-group type: C2/m
V: 64.3 Å³ per cell

---

(18)
VASP calculation (SCAN) on YSi2Hg2 at its PBEsol-relaxed geometry.

Geometry as POSCAR:
```
YSi2Hg2
1.0
-2.069 2.069 6.005
2.069 -2.069 6.005
2.069 2.069 -6.005
Y Si Hg
1 2 2
Direct
0.000 0.000 0.000 Y
0.405 0.405 0.000 Si
0.595 0.595 0.000 Si
0.250 0.750 0.500 Hg
0.750 0.250 0.500 Hg
```

Output
ΔE_f (raw): -6.0 kJ per mole of atoms
Space-group type: I4/mmm
V: 102.8 Å³ per cell

---

(19)
VASP calculation (SCAN) on Zn2SiHg at its PBEsol-relaxed geometry.

Geometry as POSCAR:
```
Zn2SiHg
1.0
1.418 0.818 9.778
-1.418 0.818 9.778
0.000 -1.637 9.778
Zn Si Hg
2 1 1
Direct
0.000 0.000 0.000 Zn
0.260 0.260 0.260 Zn
0.520 0.520 0.520 Si
0.755 0.755 0.755 Hg
```

Output
ΔE_f (raw): 35.5 kJ per mole of atoms
Space-group type: R3m
V: 68.1 Å³ per cell

---

(20)
VASP calculation (SCAN) on ZnSi2Hg at its PBEsol-relaxed geometry.

Geometry as POSCAR:
```
ZnSi2Hg
1.0
2.643 -4.814 0.000
2.643 4.814 0.000
0.000 0.000 2.747
Zn Si Hg
1 2 1
Direct
0.000 0.000 0.000 Zn
0.000 0.500 0.500 Si
0.500 0.000 0.500 Si
0.500 0.500 0.000 Hg
```

Output
ΔE_f (raw): 61.1 kJ per mole of atoms
Space-group type: Cmmm
V: 69.9 Å³ per cell

---

(21)
VASP calculation (SCAN) on ZnSi2Hg at its PBEsol-relaxed geometry.

Geometry as POSCAR:
```
ZnSi2Hg
1.0
-2.090 2.090 8.332
2.090 -2.090 8.332
2.090 2.090 -8.332
Zn Si Hg
2 4 2
Direct
0.000 0.000 0.000 Zn
0.750 0.250 0.500 Zn
0.056 0.625 0.931 Si
0.375 0.306 0.431 Si
0.694 0.125 0.069 Si
0.875 0.944 0.569 Si
0.250 0.750 0.500 Hg
0.500 0.500 0.000 Hg
```

Output
ΔE_f (raw): 42.5 kJ per mole of atoms
Space-group type: I-42d
V: 145.6 Å³ per cell

---

(22)
VASP calculation (SCAN) on Zn2SiHg at its PBEsol-relaxed geometry.

Geometry as POSCAR:
```
Zn2SiHg
1.0
2.674 0.000 0.000
0.000 3.728 0.000
0.000 0.000 6.756
Zn Si Hg
2 1 1
Direct
0.000 0.000 0.215 Zn
0.000 0.000 0.785 Zn
0.500 0.500 0.000 Si
0.500 0.500 0.500 Hg
```

Output
ΔE_f (raw): 30.1 kJ per mole of atoms
Space-group type: Pmmm
V: 67.3 Å³ per cell

---

(23)
VASP calculation (SCAN) on ZnSi2Hg at its PBEsol-relaxed geometry.

Geometry as POSCAR:
```
ZnSi2Hg
1.0
0.000 3.265 3.265
3.265 0.000 3.265
3.265 3.265 0.000
Zn Si Hg
1 2 1
Direct
0.000 0.000 0.000 Zn
0.250 0.250 0.250 Si
0.500 0.500 0.500 Si
0.750 0.750 0.750 Hg
```

Output
ΔE_f (raw): 65.1 kJ per mole of atoms
Space-group type: F-43m
V: 69.6 Å³ per cell

---

(24)
VASP calculation (SCAN) on Zn2SiHg at its PBEsol-relaxed geometry.

Geometry as POSCAR:
```
Zn2SiHg
1.0
4.142 0.000 0.000
0.000 4.142 0.000
0.000 0.000 3.917
Zn Si Hg
2 1 1
Direct
0.000 0.500 0.000 Zn
0.500 0.000 0.000 Zn
0.000 0.000 0.500 Si
0.500 0.500 0.500 Hg
```

Output
ΔE_f (raw): 37.5 kJ per mole of atoms
Space-group type: P4/mmm
V: 67.2 Å³ per cell

---

(25)
VASP calculation (SCAN) on ZnSi2Hg at its PBEsol-relaxed geometry.

Geometry as POSCAR:
```
ZnSi2Hg
1.0
-1.361 2.371 5.367
1.361 -2.371 5.367
1.361 2.371 -5.367
Zn Si Hg
1 2 1
Direct
0.000 0.000 0.000 Zn
0.219 0.719 0.500 Si
0.781 0.281 0.500 Si
0.500 0.500 0.000 Hg
```

Output
ΔE_f (raw): 51.8 kJ per mole of atoms
Space-group type: Immm
V: 69.3 Å³ per cell

---

(26)
VASP calculation (SCAN) on Zn4SiHg at its PBEsol-relaxed geometry.

Geometry as POSCAR:
```
Zn4SiHg
1.0
0.000 3.637 3.637
3.637 0.000 3.637
3.637 3.637 0.000
Zn Si Hg
4 1 1
Direct
0.125 0.125 0.125 Zn
0.125 0.125 0.626 Zn
0.125 0.626 0.125 Zn
0.626 0.125 0.125 Zn
0.750 0.750 0.750 Si
0.500 0.500 0.500 Hg
```

Output
ΔE_f (raw): 30.0 kJ per mole of atoms
Space-group type: F-43m
V: 96.2 Å³ per cell

---

(27)
VASP calculation (SCAN) on ZrSiHg2 at its PBEsol-relaxed geometry.

Geometry as POSCAR:
```
ZrSiHg2
1.0
2.798 -4.546 0.000
2.798 4.546 0.000
0.000 0.000 3.110
Zr Si Hg
1 1 2
Direct
0.000 0.000 0.000 Zr
0.500 0.500 0.000 Si
0.000 0.500 0.500 Hg
0.500 0.000 0.500 Hg
```

Output
ΔE_f (raw): 2.4 kJ per mole of atoms
Space-group type: Cmmm
V: 79.1 Å³ per cell

---

(28)
VASP calculation (SCAN) on SmHg2 at its PBEsol-relaxed geometry.

Geometry as POSCAR:
```
SmHg2
1.0
3.720 -2.660 0.000
3.720 2.660 0.000
-0.932 0.000 3.760
Sm Hg
1 2
Direct
0.000 0.000 0.000 Sm
0.337 0.337 0.646 Hg
0.663 0.663 0.354 Hg
```

Output
E: -60.842 eV per atom
Space-group type: C2/m
V: 74.4 Å³ per cell

---

(29)
VASP calculation (SCAN) on SmHg2 at its PBEsol-relaxed geometry.

Geometry as POSCAR:
```
SmHg2
1.0
4.890 0.000 0.000
-2.445 4.235 0.000
0.000 0.000 3.434
Sm Hg
1 2
Direct
0.000 0.000 0.000 Sm
0.333 0.667 0.500 Hg
0.667 0.333 0.500 Hg
```

Output
E: -60.877 eV per atom
Space-group type: P6/mmm
V: 71.1 Å³ per cell

---

(30)
VASP calculation (SCAN) on SmHg3 at its PBEsol-relaxed geometry.

Geometry as POSCAR:
```
SmHg3
1.0
6.605 0.000 0.000
-3.302 5.720 0.000
0.000 0.000 4.903
Sm Hg
2 6
Direct
0.333 0.667 0.250 Sm
0.667 0.333 0.750 Sm
0.163 0.327 0.750 Hg
0.163 0.837 0.750 Hg
0.327 0.163 0.250 Hg
0.673 0.837 0.750 Hg
0.837 0.163 0.250 Hg
0.837 0.673 0.250 Hg
```

Output
E: -62.764 eV per atom
Space-group type: P6_3/mmc
V: 185.3 Å³ per cell